The following is a DFT calculation (PBE) of SrCa2Pt after structural relaxation.

Output
For the energy above the most stable polymorph in this dataset, the calculation gives 12.4 kJ per mole of atoms. For the calculated volume, the calculation gives 37.9 Å³ per atom. As for the density of states at the Fermi level: 2.0 states/eV/f.u. For the energy of formation from the pure elements, the calculation gives -466 meV/atom.

a b c (Å): 4.171 4.171 30.212
angles (deg): 90.00 90.00 120.00
Sites, in units of the cell vectors:
Sr (0.000, 0.000, 0.000)
Sr (0.333, 0.667, 0.667)
Sr (0.667, 0.333, 0.333)
Ca (0.000, 0.000, 0.218)
Ca (0.000, 0.000, 0.782)
Ca (0.333, 0.667, 0.449)
Ca (0.333, 0.667, 0.884)
Ca (0.667, 0.333, 0.116)
Ca (0.667, 0.333, 0.551)
Pt (0.000, 0.000, 0.500)
Pt (0.333, 0.667, 0.167)
Pt (0.667, 0.333, 0.833)

The following is a DFT calculation (PBE) of Sr2CaPt after structural relaxation.

Output
For the energy above the most stable polymorph in this dataset, the calculation gives 43.0 kJ per mole of atoms. For the calculated volume, the calculation gives 30.2 Å³ per atom. As for the density of states at the Fermi level: 5.6 states/eV/f.u. For the energy of formation from the pure elements, the calculation gives -116 meV/atom.

a b c (Å): 7.848 7.848 7.848
angles (deg): 90.00 90.00 90.00
Sites, in units of the cell vectors:
Sr (0.000, 0.000, 0.000)
Sr (0.000, 0.500, 0.500)
Sr (0.250, 0.250, 0.250)
Sr (0.250, 0.750, 0.750)
Sr (0.500, 0.000, 0.500)
Sr (0.500, 0.500, 0.000)
Sr (0.750, 0.250, 0.750)
Sr (0.750, 0.750, 0.250)
Ca (0.000, 0.000, 0.500)
Ca (0.000, 0.500, 0.000)
Ca (0.500, 0.000, 0.000)
Ca (0.500, 0.500, 0.500)
Pt (0.250, 0.250, 0.750)
Pt (0.250, 0.750, 0.250)
Pt (0.750, 0.250, 0.250)
Pt (0.750, 0.750, 0.750)

The following is a DFT calculation (PBE) of SrCa2Pt after structural relaxation.

Output
For the energy above the most stable polymorph in this dataset, the calculation gives 11.3 kJ per mole of atoms. For the calculated volume, the calculation gives 37.7 Å³ per atom. As for the density of states at the Fermi level: 2.0 states/eV/f.u. For the energy of formation from the pure elements, the calculation gives -478 meV/atom.

a b c (Å): 4.237 4.237 29.111
angles (deg): 90.00 90.00 120.00
Sites, in units of the cell vectors:
Sr (0.000, 0.000, 0.000)
Sr (0.333, 0.667, 0.667)
Sr (0.667, 0.333, 0.333)
Ca (0.000, 0.000, 0.549)
Ca (0.000, 0.000, 0.780)
Ca (0.333, 0.667, 0.215)
Ca (0.333, 0.667, 0.447)
Ca (0.667, 0.333, 0.113)
Ca (0.667, 0.333, 0.882)
Pt (0.000, 0.000, 0.164)
Pt (0.333, 0.667, 0.831)
Pt (0.667, 0.333, 0.497)

The following is a DFT calculation (PBE) of Sr2CaPt2 after structural relaxation.

Output
For the energy above the most stable polymorph in this dataset, the calculation gives 0.5 kJ per mole of atoms. For the calculated volume, the calculation gives 28.3 Å³ per atom. As for the density of states at the Fermi level: 2.2 states/eV/f.u. For the energy of formation from the pure elements, the calculation gives -755 meV/atom.

a b c (Å): 10.502 6.801 4.353
angles (deg): 90.00 114.37 90.00
Sites, in units of the cell vectors:
Sr (0.197, 0.000, 0.197)
Sr (0.303, 0.500, 0.803)
Sr (0.697, 0.500, 0.197)
Sr (0.803, 0.000, 0.803)
Ca (0.000, 0.500, 0.000)
Ca (0.500, 0.000, 0.000)
Pt (0.000, 0.205, 0.500)
Pt (0.000, 0.795, 0.500)
Pt (0.500, 0.295, 0.500)
Pt (0.500, 0.705, 0.500)

The following is a DFT calculation (PBE) of SrCa3Pt after structural relaxation.

Output
For the energy above the most stable polymorph in this dataset, the calculation gives 29.9 kJ per mole of atoms. For the calculated volume, the calculation gives 45.4 Å³ per atom. As for the density of states at the Fermi level: 4.1 states/eV/f.u. For the energy of formation from the pure elements, the calculation gives -172 meV/atom.

a b c (Å): 4.688 4.688 23.843
angles (deg): 90.00 90.00 120.00
Sites, in units of the cell vectors:
Sr (0.000, 0.000, 0.000)
Sr (0.000, 0.000, 0.500)
Ca (0.000, 0.000, 0.250)
Ca (0.000, 0.000, 0.750)
Ca (0.333, 0.667, 0.133)
Ca (0.333, 0.667, 0.367)
Ca (0.667, 0.333, 0.633)
Ca (0.667, 0.333, 0.867)
Pt (0.333, 0.667, 0.250)
Pt (0.667, 0.333, 0.750)

The following is a DFT calculation (PBE) of SrCa3Pt after structural relaxation.

Output
For the energy above the most stable polymorph in this dataset, the calculation gives 178.4 kJ per mole of atoms. For the calculated volume, the calculation gives 34.6 Å³ per atom. As for the density of states at the Fermi level: 8.3 states/eV/f.u. For the energy of formation from the pure elements, the calculation gives 1367 meV/atom.

a b c (Å): 5.570 5.570 5.570
angles (deg): 90.00 90.00 90.00
Sites, in units of the cell vectors:
Sr (0.000, 0.000, 0.000)
Ca (0.000, 0.000, 0.500)
Ca (0.000, 0.500, 0.000)
Ca (0.500, 0.000, 0.000)
Pt (0.500, 0.500, 0.500)

The following is a DFT calculation (PBE) of SrCa2Pt2 after structural relaxation.

Output
For the energy above the most stable polymorph in this dataset, the calculation gives 24.8 kJ per mole of atoms. For the calculated volume, the calculation gives 29.5 Å³ per atom. As for the density of states at the Fermi level: 2.2 states/eV/f.u. For the energy of formation from the pure elements, the calculation gives -521 meV/atom.

a b c (Å): 5.255 5.255 10.689
angles (deg): 90.00 90.00 90.00
Sites, in units of the cell vectors:
Sr (0.000, 0.000, 0.000)
Sr (0.500, 0.500, 0.500)
Ca (0.000, 0.000, 0.339)
Ca (0.000, 0.000, 0.661)
Ca (0.500, 0.500, 0.161)
Ca (0.500, 0.500, 0.839)
Pt (0.000, 0.500, 0.250)
Pt (0.000, 0.500, 0.750)
Pt (0.500, 0.000, 0.250)
Pt (0.500, 0.000, 0.750)

The following is a DFT calculation (PBE) of SrCa3Pt after structural relaxation.

Output
For the energy above the most stable polymorph in this dataset, the calculation gives 15.3 kJ per mole of atoms. For the calculated volume, the calculation gives 35.3 Å³ per atom. As for the density of states at the Fermi level: 3.3 states/eV/f.u. For the energy of formation from the pure elements, the calculation gives -324 meV/atom.

a b c (Å): 6.888 12.704 8.069
angles (deg): 90.00 90.00 90.00
Sites, in units of the cell vectors:
Sr (0.000, 0.000, 0.000)
Sr (0.000, 0.500, 0.000)
Sr (0.500, 0.000, 0.500)
Sr (0.500, 0.500, 0.500)
Ca (0.037, 0.125, 0.376)
Ca (0.037, 0.375, 0.376)
Ca (0.210, 0.250, 0.777)
Ca (0.290, 0.750, 0.277)
Ca (0.463, 0.625, 0.876)
Ca (0.463, 0.875, 0.876)
Ca (0.537, 0.125, 0.124)
Ca (0.537, 0.375, 0.124)
Ca (0.710, 0.250, 0.723)
Ca (0.790, 0.750, 0.223)
Ca (0.963, 0.625, 0.624)
Ca (0.963, 0.875, 0.624)
Pt (0.103, 0.750, 0.938)
Pt (0.397, 0.250, 0.438)
Pt (0.603, 0.750, 0.562)
Pt (0.897, 0.250, 0.062)

The following is a DFT calculation (PBE) of Sr2Ca3Pt2 after structural relaxation.

Output
For the calculated volume, the calculation gives 31.5 Å³ per atom. As for the density of states at the Fermi level: 2.3 states/eV/f.u. For the energy of formation from the pure elements, the calculation gives -654 meV/atom.

a b c (Å): 12.781 4.229 8.938
angles (deg): 90.00 114.10 90.00
Sites, in units of the cell vectors:
Sr (0.162, 0.000, 0.306)
Sr (0.338, 0.500, 0.694)
Sr (0.662, 0.500, 0.306)
Sr (0.838, 0.000, 0.694)
Ca (0.000, 0.500, 0.500)
Ca (0.132, 0.500, 0.930)
Ca (0.368, 0.000, 0.070)
Ca (0.500, 0.000, 0.500)
Ca (0.632, 0.000, 0.930)
Ca (0.868, 0.500, 0.070)
Pt (0.168, 0.000, 0.722)
Pt (0.332, 0.500, 0.278)
Pt (0.668, 0.500, 0.722)
Pt (0.832, 0.000, 0.278)

The following is a DFT calculation (PBE) of SrCa3Pt after structural relaxation.

Output
For the energy above the most stable polymorph in this dataset, the calculation gives 1.7 kJ per mole of atoms. For the calculated volume, the calculation gives 37.5 Å³ per atom. As for the density of states at the Fermi level: 3.5 states/eV/f.u. For the energy of formation from the pure elements, the calculation gives -465 meV/atom.

a b c (Å): 5.723 5.723 5.723
angles (deg): 90.00 90.00 90.00
Sites, in units of the cell vectors:
Sr (0.000, 0.000, 0.000)
Ca (0.000, 0.500, 0.500)
Ca (0.500, 0.000, 0.500)
Ca (0.500, 0.500, 0.000)
Pt (0.500, 0.500, 0.500)

The following is a DFT calculation (PBE) of Sr2CaPt after structural relaxation.

Output
For the energy above the most stable polymorph in this dataset, the calculation gives 11.8 kJ per mole of atoms. For the calculated volume, the calculation gives 35.4 Å³ per atom. As for the density of states at the Fermi level: 2.5 states/eV/f.u. For the energy of formation from the pure elements, the calculation gives -439 meV/atom.

a b c (Å): 3.767 3.767 9.975
angles (deg): 90.00 90.00 90.00
Sites, in units of the cell vectors:
Sr (0.000, 0.000, 0.000)
Sr (0.500, 0.500, 0.348)
Ca (0.000, 0.000, 0.665)
Pt (0.500, 0.500, 0.817)

The following is a DFT calculation (PBE) of SrCaPt after structural relaxation.

Output
For the energy above the most stable polymorph in this dataset, the calculation gives 0.0 kJ per mole of atoms. For the calculated volume, the calculation gives 31.0 Å³ per atom. As for the density of states at the Fermi level: 0.6 states/eV/f.u. For the energy of formation from the pure elements, the calculation gives -749 meV/atom.

a b c (Å): 7.073 13.858 7.585
angles (deg): 90.00 90.00 90.00
Sites, in units of the cell vectors:
Sr (0.188, 0.197, 0.105)
Sr (0.188, 0.303, 0.605)
Sr (0.312, 0.697, 0.105)
Sr (0.312, 0.803, 0.605)
Sr (0.688, 0.197, 0.395)
Sr (0.688, 0.303, 0.895)
Sr (0.812, 0.697, 0.395)
Sr (0.812, 0.803, 0.895)
Ca (0.001, 0.530, 0.764)
Ca (0.001, 0.970, 0.264)
Ca (0.499, 0.030, 0.764)
Ca (0.499, 0.470, 0.264)
Ca (0.501, 0.530, 0.736)
Ca (0.501, 0.970, 0.236)
Ca (0.999, 0.030, 0.736)
Ca (0.999, 0.470, 0.236)
Pt (0.230, 0.599, 0.462)
Pt (0.230, 0.901, 0.962)
Pt (0.270, 0.099, 0.462)
Pt (0.270, 0.401, 0.962)
Pt (0.730, 0.599, 0.038)
Pt (0.730, 0.901, 0.538)
Pt (0.770, 0.099, 0.038)
Pt (0.770, 0.401, 0.538)